First-principles (PBE-GGA) data for a relaxed structure of LaYPtRh, as listed in Alexandria via LeMat-Bulk.

The structure belongs to space group Amm2 (No. 38); the cell edges are 4.501, 3.877 and 10.661 Å and the angles 90.00°, 90.00° and 90.00°. The asymmetric unit holds La at (0.000, 0.000, 0.000), Y at (0.500, 0.000, 0.281), Pt at (0.500, 0.000, 0.562) and Rh at (0.000, 0.000, 0.741).

The density of states at the Fermi level is 0.587 states/eV per atom. For the uncorrected energy, the calculation gives -57.58 eV/cell. The formation energy from the elements comes out at -96.6 kJ per mole of atoms.

---

First-principles (PBE-GGA) data for a relaxed structure of Sm6GaSi2I3, as listed in Alexandria via LeMat-Bulk.

The structure belongs to space group C2/m (No. 12); the cell edges are 7.471, 12.943 and 7.935 Å and the angles 90.00°, 108.27° and 90.00°. The asymmetric unit holds Sm at (0.231, 0.000, 0.200), Sm at (0.234, 0.332, 0.200), Ga at (0.000, 0.500, 0.000), Si at (0.000, 0.166, 0.000), I at (0.000, 0.000, 0.500) and I at (0.000, 0.333, 0.500).

The density of states at the Fermi level is 0.399 states/eV per atom. For the uncorrected energy, the calculation gives -114.55 eV/cell. The uncorrected formation energy is -10.4 eV/f.u.

---

First-principles (PBE-GGA) data for a relaxed structure of Pm8HoTh2, as listed in Alexandria via LeMat-Bulk.

The structure belongs to space group C2/m (No. 12); the cell edges are 9.082, 16.453 and 6.030 Å and the angles 90.00°, 123.27° and 90.00°. The asymmetric unit holds Pm at (0.000, 0.207, 0.000), Pm at (0.080, 0.500, 0.793), Pm at (0.217, 0.117, 0.677), Ho at (0.000, 0.000, 0.000) and Th at (0.000, 0.307, 0.500).

The density of states at the Fermi level is 1.290 states/eV per atom. For the uncorrected energy, the calculation gives -110.55 eV/cell. The formation energy from the elements comes out at 18.8 kJ per mole of atoms.

---

Question: uncorrected energy of number 2 (Sm6GaSi2I3)?
Answer: -114.55 eV/cell

---

Question: Which value of uncorrected energy does entry 2 give?
Answer: -114.55 eV/cell

---

Question: What is the uncorrected energy in the second record?
Answer: -114.55 eV/cell

---

Question: Which of these has the lowest uncorrected energy?
Answer: Sm6GaSi2I3